# 1
Dy4MgCd3 | PBE | optimized geometry

The structure in POSCAR format:
```
Dy4MgCd3
1.0
3.7605 0.0000 0.0000
0.0000 3.7605 0.0000
0.0000 0.0000 14.9605
Dy Cd Mg
4 3 1
Cartesian
0.0000 0.0000 9.3419 Dy
0.0000 0.0000 13.0692 Dy
0.0000 0.0000 5.6186 Dy
0.0000 0.0000 1.8914 Dy
1.8803 1.8803 11.2373 Cd
1.8803 1.8803 3.7232 Cd
1.8803 1.8803 7.4803 Cd
1.8803 1.8803 0.0000 Mg
```

ΔE_f   -2.1 eV/f.u.
Distance to the lowest polymorph of the same formula   0.0 meV per atom
Fermi-level density of states   1.19 states/eV/atom
Symmetry   P4/mmm (123)

---

# 2
NpSCl | PBE | optimized geometry

The structure in POSCAR format:
```
NpSCl
1.0
3.4306 0.0000 0.0000
0.0000 3.4306 0.0000
-1.7153 -1.7153 6.6115
S Np Cl
1 1 1
Cartesian
0.0000 0.0000 0.7012 S
1.7153 1.7153 2.0645 Np
0.0000 0.0000 3.8458 Cl
```

Formation energy (no corrections)   -3.9 eV per formula unit
Fermi-level density of states   2.12 states/eV/atom
Symmetry   I4mm (107)

---

# 3
SbOs3 | PBE | optimized geometry

The structure in POSCAR format:
```
SbOs3
1.0
-0.9102 1.8442 2.0617
-2.7652 -0.6650 -0.6259
0.1919 -5.5525 5.0516
Os Sb
3 1
Cartesian
0.0932 -2.6967 2.4534 Os
0.0028 -0.0796 0.0724 Os
-1.7897 -0.7985 1.9808 Os
-1.6937 -3.5747 4.5066 Sb
```

Formation energy (no corrections)   2.4 eV per formula unit
Fermi-level density of states   0.89 states/eV/atom
Symmetry   P4/mmm (123)

---

# 4
La2AlCo | PBE | optimized geometry

The structure in POSCAR format:
```
La2AlCo
1.0
6.3213 0.0227 -0.0068
3.4828 5.2754 0.0068
-4.4669 -3.4542 2.8416
La Co Al
2 1 1
Cartesian
0.4365 0.2359 0.0000 La
3.2873 -0.4403 1.4174 La
2.2671 2.4017 1.4242 Co
4.2483 2.2958 0.0000 Al
```

ΔE_f   -0.7 eV/f.u.
Distance to the lowest polymorph of the same formula   50.1 meV per atom
Fermi-level density of states   1.27 states/eV/atom
Symmetry   Imm2 (44)

---

# 5
BeCd2Si | PBE | optimized geometry

The structure in POSCAR format:
```
BeCd2Si
1.0
-0.4694 0.4206 3.9713
-4.1679 0.2245 -0.5164
-0.2757 -4.1767 0.4097
Be Si Cd
1 1 2
Cartesian
-0.3726 -1.8781 2.1905 Be
-2.3187 0.3225 1.7275 Si
0.0000 0.0000 0.0000 Cd
-2.2218 -1.9761 -0.0533 Cd
```

Formation energy (no corrections)   2.2 eV per formula unit
Distance to the lowest polymorph of the same formula   278.7 meV per atom
Fermi-level density of states   0.51 states/eV/atom
Symmetry   P4/mmm (123)

---

# 6
Hf5GaBi | PBE | optimized geometry

The structure in POSCAR format:
```
Hf5GaBi
1.0
6.0177 -0.2091 0.6700
1.7109 5.7732 0.6700
3.4431 2.4788 10.1816
Bi Hf Ga
2 10 2
Cartesian
5.7033 5.6737 8.3062 Bi
5.4684 2.3692 3.2154 Bi
5.8300 5.3763 3.5413 Hf
7.1365 3.9261 5.9674 Hf
8.6698 5.0626 8.6321 Hf
6.9059 3.7601 10.6449 Hf
2.5020 2.9804 2.8894 Hf
5.3418 2.6666 7.9802 Hf
4.2658 4.2829 0.8766 Hf
2.9313 5.8934 3.2154 Hf
4.0352 4.1169 5.5542 Hf
8.2405 2.1495 8.3062 Hf
1.7216 1.2394 5.0908 Ga
0.0000 0.0000 0.0000 Ga
```

ΔE_f   0.7 eV/f.u.
Fermi-level density of states   1.04 states/eV/atom
Symmetry   C2/c (15)

---

# 7
SbBrF | PBE | optimized geometry

The structure in POSCAR format:
```
SbBrF
1.0
3.4641 0.0322 -0.3458
1.5913 5.7807 -1.2166
0.8794 -0.9072 8.0896
F Br Sb
2 2 2
Cartesian
2.1374 0.8314 3.6172 F
3.7973 4.0742 2.9100 F
1.8183 1.7752 0.5540 Br
4.1165 3.1305 5.9732 Br
3.5708 5.3852 0.7837 Sb
2.3639 -0.4796 5.7434 Sb
```

Formation energy (no corrections)   -3.4 eV per formula unit
Distance to the lowest polymorph of the same formula   0.0 meV per atom
Fermi-level density of states   0.21 states/eV/atom
Symmetry   P-1 (2)

---

# 8
CaHf3Al | PBE | optimized geometry

The structure in POSCAR format:
```
CaHf3Al
1.0
5.1390 0.0000 0.0000
0.0000 5.1390 0.0000
0.0000 0.0000 5.1390
Ca Hf Al
1 3 1
Cartesian
2.5695 2.5695 2.5695 Ca
2.5695 0.0000 0.0000 Hf
0.0000 2.5695 0.0000 Hf
0.0000 0.0000 2.5695 Hf
0.0000 0.0000 0.0000 Al
```

ΔE_f   3.4 eV/f.u.
Distance to the lowest polymorph of the same formula   0.0 meV per atom
Fermi-level density of states   2.15 states/eV/atom
Symmetry   Pm-3m (221)